(P)
Computed, not measured: a relaxed structure of Cd3TeS at the PBE level of DFT.

Magnetization   0.00 μB/f.u.
Crystal system   cubic
SG   Pm-3m

Structure (POSCAR):
```
Cd3TeS
1.0
5.5856 0.0000 0.0000
0.0000 5.5856 0.0000
0.0000 0.0000 5.5856
Cd Te S
3 1 1
direct
0.0000 0.0000 0.5000 Cd
0.0000 0.5000 0.0000 Cd
0.5000 0.0000 0.0000 Cd
0.0000 0.0000 0.0000 Te
0.5000 0.5000 0.5000 S
```

(Q)
Computed, not measured: a relaxed structure of Cd3TeS at the PBE level of DFT.

Magnetization   0.00 μB/f.u.
Crystal system   cubic
SG   Pm-3m

Structure (POSCAR):
```
Cd3TeS
1.0
5.1928 0.0000 0.0000
0.0000 5.1928 0.0000
0.0000 0.0000 5.1928
Cd Te S
3 1 1
direct
0.0000 0.0000 0.5000 Cd
0.0000 0.5000 0.0000 Cd
0.5000 0.0000 0.0000 Cd
0.5000 0.5000 0.5000 Te
0.0000 0.0000 0.0000 S
```

Most stable to least stable, the ends of the list are (Q) and (P).